[1]
CaSmTmIn after structural relaxation. Source: Alexandria, functional GGA-PBE.

Summary:
Magnetization ... 0.00 Bohr magnetons per cell
ΔE_f ... -0.13 eV/atom
Uncorrected energy ... -14.5 eV for the cell shown

Lattice parameters (Å, degrees): 5.506 5.506 5.506 60.00 60.00 60.00
Element x y z (fractional)
Tm: 0.000 0.000 0.000
Sm: 0.500 0.500 0.500
Ca: 0.750 0.750 0.750
In: 0.250 0.250 0.250


[2]
SrIn3Sn after structural relaxation. Source: Alexandria, functional GGA-PBE.

Summary:
Magnetization ... 0.00 Bohr magnetons per cell
ΔE_f ... 0.74 eV/atom
Uncorrected energy ... -10.2 eV for the cell shown
ΔE to the lowest computed polymorph ... 0.9897 eV/atom

Lattice parameters (Å, degrees): 6.043 6.043 6.043 90.00 90.00 90.00
Element x y z (fractional)
Sn: 0.500 0.500 0.500
In: 0.500 0.000 0.000
In: 0.000 0.500 0.000
In: 0.000 0.000 0.500
Sr: 0.000 0.000 0.000


[3]
Mg7Cd3Sn after structural relaxation. Source: Alexandria, functional GGA-PBE.

Summary:
Magnetization ... 0.00 Bohr magnetons per cell
ΔE_f ... -0.01 eV/atom
Uncorrected energy ... -18.0 eV for the cell shown

Lattice parameters (Å, degrees): 5.481 7.515 7.515 90.11 111.54 111.54
Element x y z (fractional)
Cd: 0.000 0.225 0.775
Cd: 0.500 0.000 0.000
Cd: 0.000 0.775 0.225
Mg: 0.812 0.817 0.817
Mg: 0.674 0.951 0.400
Mg: 0.674 0.400 0.951
Mg: 0.326 0.049 0.600
Mg: 0.326 0.600 0.049
Mg: 0.000 0.500 0.500
Mg: 0.188 0.183 0.183
Sn: 0.500 0.500 0.500


- The lowest uncorrected energy belongs to which entry?
  Mg7Cd3Sn


- ΔE_f of number 3 (Mg7Cd3Sn)?
  -0.01 eV/atom


- Number 3 is which compound?
  Mg7Cd3Sn


- uncorrected energy of number 3 (Mg7Cd3Sn)?
  -18.0 eV for the cell shown